A plane-wave DFT calculation with PBE was carried out for a relaxed ThScTeSe crystal.

Structure (CIF):
```
data_ThScTeSe
_chemical_formula_sum 'Th1 Sc1 Te1 Se1'
_cell_length_a 7.6808
_cell_length_b 7.6808
_cell_length_c 7.6808
_cell_angle_alpha 30.46
_cell_angle_beta 30.46
_cell_angle_gamma 30.46
_space_group_name_H-M_alt 'P 1'
_space_group_IT_number 1
_space_group_name_Hall 'P 1'
loop_
_atom_site_label
_atom_site_fract_x
_atom_site_fract_y
_atom_site_fract_z
Th1 0.0000 0.0000 0.0000
Sc1 0.5216 0.5216 0.5216
Te1 0.7683 0.7683 0.7683
Se1 0.2483 0.2483 0.2483
```

Computed properties:
Spin magnetization (μB per formula unit): 0.00
Space-group type: R3m
Raw formation energy (eV/f.u.): -5.27